This record from Alexandria describes a relaxed structure of LaCoSe. The functional is PBE-GGA.

a = 3.970 Å, b = 3.970 Å, c = 8.792 Å
α = 90.00°, β = 90.00°, γ = 90.00°
Space group I4mm (No. 107)
Symmetry-distinct sites (fractional):
La (0.000, 0.000, 0.000)
Co (0.000, 0.000, 0.406)
Se (0.000, 0.000, 0.664)

DOS(E_F) = 0.56 states/eV/atom
M_tot = 0.0001 μB/atom
Uncorrected energy = -5.646 eV/atom

---

This record from Alexandria describes a relaxed structure of LaTe2ICl. The functional is PBE-GGA.

a = 5.611 Å, b = 5.611 Å, c = 5.294 Å
α = 90.00°, β = 90.00°, γ = 90.00°
Space group P4/mmm (No. 123)
Symmetry-distinct sites (fractional):
La (0.000, 0.000, 0.000)
Te (0.000, 0.500, 0.500)
I (0.500, 0.500, 0.000)
Cl (0.500, 0.500, 0.500)

Relative energy among the computed polymorphs = 104.2 meV/atom
DOS(E_F) = 0.70 states/eV/atom
M_tot = 0.0387 μB/atom